[1]
First-principles (GGA-PBE) data for an optimized crystal structure of KNaNb2O6, as listed in Alexandria.

Properties
Relative energy among the computed polymorphs in meV per atom: 0

CIF file:
```
data_KNaNb2O6
_chemical_formula_sum 'K2 Na2 Nb4 O12'
_cell_length_a 8.387
_cell_length_b 7.957
_cell_length_c 4.017
_cell_angle_alpha 90.00
_cell_angle_beta 90.42
_cell_angle_gamma 90.00
_symmetry_space_group_name_H-M 'C 1 m 1'
_symmetry_Int_Tables_number 8
_symmetry_space_group_name_Hall 'C -2y'
loop_
_atom_site_label
_atom_site_fract_x
_atom_site_fract_y
_atom_site_fract_z
K1 0.000 0.000 0.000
Na1 0.459 0.000 0.018
Nb1 0.238 0.253 0.510
O1 0.016 0.269 0.493
O2 0.252 0.000 0.485
O3 0.266 0.246 0.990
O4 0.281 0.500 0.486
```



[2]
First-principles (GGA-PBE) data for an optimized crystal structure of KNaNb4O12, as listed in Alexandria.

CIF file:
```
data_KNaNb4O12
_chemical_formula_sum 'K1 Na1 Nb4 O12'
_cell_length_a 5.672
_cell_length_b 5.672
_cell_length_c 8.018
_cell_angle_alpha 90.00
_cell_angle_beta 90.00
_cell_angle_gamma 90.00
_symmetry_space_group_name_H-M 'P 4/m m m'
_symmetry_Int_Tables_number 123
_symmetry_space_group_name_Hall '-P 4 2'
loop_
_atom_site_label
_atom_site_fract_x
_atom_site_fract_y
_atom_site_fract_z
K1 0.000 0.000 0.000
Na1 0.500 0.500 0.500
Nb1 0.000 0.500 0.251
O1 0.000 0.500 0.000
O2 0.000 0.500 0.500
O3 0.251 0.251 0.254
```



[3]
First-principles (GGA-PBE) data for an optimized crystal structure of KNaNb2O6, as listed in Alexandria.

Properties
Relative energy among the computed polymorphs in meV per atom: 48

CIF file:
```
data_KNaNb2O6
_chemical_formula_sum 'K4 Na4 Nb8 O24'
_cell_length_a 10.322
_cell_length_b 11.782
_cell_length_c 6.747
_cell_angle_alpha 90.00
_cell_angle_beta 113.54
_cell_angle_gamma 90.00
_symmetry_space_group_name_H-M 'C 1 2/c 1'
_symmetry_Int_Tables_number 15
_symmetry_space_group_name_Hall '-C 2yc'
loop_
_atom_site_label
_atom_site_fract_x
_atom_site_fract_y
_atom_site_fract_z
K1 0.000 0.107 0.250
Na1 0.000 0.201 0.750
Nb1 0.153 0.427 0.188
O1 0.104 0.284 0.090
O2 0.108 0.466 0.443
O3 0.155 0.073 0.693
```



[4]
First-principles (GGA-PBE) data for an optimized crystal structure of K2NaNbO4, as listed in Alexandria.

CIF file:
```
data_K2NaNbO4
_chemical_formula_sum 'K4 Na2 Nb2 O8'
_cell_length_a 5.991
_cell_length_b 5.991
_cell_length_c 8.679
_cell_angle_alpha 90.00
_cell_angle_beta 90.00
_cell_angle_gamma 90.00
_symmetry_space_group_name_H-M 'I -4'
_symmetry_Int_Tables_number 82
_symmetry_space_group_name_Hall 'I -4'
loop_
_atom_site_label
_atom_site_fract_x
_atom_site_fract_y
_atom_site_fract_z
K1 0.000 0.000 0.000
K2 0.000 0.500 0.250
Na1 0.000 0.000 0.500
Nb1 0.000 0.500 0.750
O1 0.162 0.707 0.631
```



[5]
First-principles (GGA-PBE) data for an optimized crystal structure of KNa2NbO4, as listed in Alexandria.

CIF file:
```
data_KNa2NbO4
_chemical_formula_sum 'K2 Na4 Nb2 O8'
_cell_length_a 5.892
_cell_length_b 5.892
_cell_length_c 7.853
_cell_angle_alpha 90.00
_cell_angle_beta 90.00
_cell_angle_gamma 90.00
_symmetry_space_group_name_H-M 'I -4 2 m'
_symmetry_Int_Tables_number 121
_symmetry_space_group_name_Hall 'I -4 2'
loop_
_atom_site_label
_atom_site_fract_x
_atom_site_fract_y
_atom_site_fract_z
K1 0.000 0.000 0.000
Na1 0.000 0.500 0.250
Nb1 0.000 0.000 0.500
O1 0.187 0.187 0.635
```



[6]
First-principles (GGA-PBE) data for an optimized crystal structure of KNaNb2O6, as listed in Alexandria.

Properties
Relative energy among the computed polymorphs in meV per atom: 0

CIF file:
```
data_KNaNb2O6
_chemical_formula_sum 'K1 Na1 Nb2 O6'
_cell_length_a 4.138
_cell_length_b 3.993
_cell_length_c 8.102
_cell_angle_alpha 90.00
_cell_angle_beta 90.55
_cell_angle_gamma 90.00
_symmetry_space_group_name_H-M 'P 1 m 1'
_symmetry_Int_Tables_number 6
_symmetry_space_group_name_Hall 'P -2y'
loop_
_atom_site_label
_atom_site_fract_x
_atom_site_fract_y
_atom_site_fract_z
K1 0.000 0.000 0.000
Na1 0.059 0.000 0.491
Nb1 0.514 0.500 0.742
Nb2 0.519 0.500 0.248
O1 0.459 0.500 0.508
O2 0.463 0.000 0.758
O3 0.468 0.000 0.267
O4 0.478 0.500 0.011
O5 0.966 0.500 0.751
O6 0.971 0.500 0.265
```



[7]
First-principles (GGA-PBE) data for an optimized crystal structure of KNa2Nb2O7, as listed in Alexandria.

CIF file:
```
data_KNa2Nb2O7
_chemical_formula_sum 'K2 Na4 Nb4 O14'
_cell_length_a 3.947
_cell_length_b 18.876
_cell_length_c 4.887
_cell_angle_alpha 90.00
_cell_angle_beta 90.00
_cell_angle_gamma 90.00
_symmetry_space_group_name_H-M 'I m m 2'
_symmetry_Int_Tables_number 44
_symmetry_space_group_name_Hall 'I 2 -2'
loop_
_atom_site_label
_atom_site_fract_x
_atom_site_fract_y
_atom_site_fract_z
K1 0.000 0.000 0.000
Na1 0.000 0.271 0.535
Nb1 0.000 0.394 0.983
O1 0.000 0.099 0.568
O2 0.000 0.295 0.062
O3 0.000 0.395 0.612
O4 0.000 0.500 0.087
```



[8]
First-principles (GGA-PBE) data for an optimized crystal structure of K3Na3Nb8P5O35, as listed in Alexandria.

CIF file:
```
data_K3Na3Nb8P5O35
_chemical_formula_sum 'K9 Na9 Nb24 P15 O105'
_cell_length_a 9.1470
_cell_length_b 9.1470
_cell_length_c 30.8321
_cell_angle_alpha 90.00
_cell_angle_beta 90.00
_cell_angle_gamma 120.00
_symmetry_space_group_name_H-M 'R 3 2'
_symmetry_Int_Tables_number 155
_symmetry_space_group_name_Hall 'R 3 2"'
loop_
_atom_site_label
_atom_site_fract_x
_atom_site_fract_y
_atom_site_fract_z
K1 0.0000 0.4124 0.0000
Na1 0.0000 0.2150 0.5000
Nb1 0.0000 0.0000 0.2338
Nb2 0.0057 0.7648 0.0634
P1 0.0000 0.0000 0.4078
P2 0.0000 0.5570 0.5000
O1 0.0000 0.0000 0.4568
O2 0.0000 0.7606 0.0000
O3 0.0022 0.8217 0.2659
O4 0.0110 0.1800 0.9321
O5 0.0307 0.7454 0.1314
O6 0.0510 0.8742 0.6116
O7 0.0559 0.1993 0.8121
```



Uncorrected formation energy across the listed records, respectively: -24.25; -39.95; -23.78; -17.24; -17.38; -24.25; -25.81; -132.70 eV per formula unit.
Density of states at the Fermi level across the listed records, respectively: 0.00; 6.92; 0.00; 0.00; 0.00; 0.00; 14.75; 22.46 states/eV per cell.